No. 1
# LaTlPd3

LaTlPd3 after structural relaxation (PBE, Alexandria via LeMat-Bulk).

The energy above the lowest structure with this stoichiometry is 590 meV per atom. Its raw total energy is -0.167 hartree per atom. The value obtained for the density of states at the Fermi level is 0.625 states/eV/atom.

The structure belongs to space group Pm-3m (No. 221); the cell edges are 5.058, 5.058 and 5.058 Å and the angles 90.00°, 90.00° and 90.00°. The distinct sites, in fractional coordinates, are La at (0.000, 0.000, 0.000), Tl at (0.500, 0.500, 0.500) and Pd at (0.000, 0.500, 0.500).


No. 2
# La4TlPd2

La4TlPd2 after structural relaxation (PBE, Alexandria via LeMat-Bulk).

Its raw total energy is -0.187 hartree per atom. The value obtained for the density of states at the Fermi level is 0.876 states/eV/atom.

The structure belongs to space group R-3m (No. 166, hexagonal axes); the cell edges are 5.0481, 5.0481 and 29.6361 Å and the angles 90.00°, 90.00° and 120.00°. The distinct sites, in fractional coordinates, are La at (0.0000, 0.0000, 0.1162), La at (0.0000, 0.0000, 0.2946), Tl at (0.0000, 0.0000, 0.5000) and Pd at (0.0000, 0.0000, 0.3974).


No. 3
# LaTl2Pd2

LaTl2Pd2 after structural relaxation (PBE, Alexandria via LeMat-Bulk).

The energy above the lowest structure with this stoichiometry is 133 meV per atom. Its raw total energy is -0.160 hartree per atom. The value obtained for the density of states at the Fermi level is 0.764 states/eV/atom.

The structure belongs to space group I4/mmm (No. 139); the cell edges are 5.049, 5.049 and 9.778 Å and the angles 90.00°, 90.00° and 90.00°. The distinct sites, in fractional coordinates, are La at (0.000, 0.000, 0.000), Tl at (0.000, 0.000, 0.354) and Pd at (0.000, 0.500, 0.250).


E_form values, unit eV/atom, following the record order: 0.03 -0.45 -0.35.